## KVRu2F (PBE with a Hubbard U)

Data for a relaxed KVRu2F crystal.

## Properties
Its space-group type is P4/mmm (123). The calculated total energy is -0.17941 Ha/atom. The calculation puts the density of states at the Fermi level at 0.640 states/eV per atom.

Cell: 4.4412 4.4412 8.1246 Å, 90.00 90.00 90.00°
Last column: nearest neighbours and their distance in Å.
Atoms (fractional coordinates):
K (0.0000, 0.0000, 0.0000)  4 F 3.14
V (0.0000, 0.0000, 0.5000)  4 Ru 2.22
Ru (0.0000, 0.5000, 0.5000)  2 V 2.22
Ru (0.5000, 0.0000, 0.5000)  2 V 2.22
F (0.5000, 0.5000, 0.0000)  4 K 3.14